[1]
# Li2P2Pb, relaxed, DFT PBE
# - D(E_F) (states/eV/f.u.) = 1.1
# - energy relative to the elements (eV/atom) = -0.345
# - final energy (eV per cell) = -40.16
# - total moment (μB per atom) = 0.000
data_Li2P2Pb
_chemical_formula_sum 'Li4 P4 Pb2'
_space_group_name_H-M_alt 'I 4/m m m'
_space_group_IT_number 139
_space_group_name_Hall '-I 4 2'
_cell_length_a 4.2497
_cell_length_b 4.2497
_cell_length_c 10.1471
_cell_angle_alpha 90.00
_cell_angle_beta 90.00
_cell_angle_gamma 90.00
loop_
_atom_site_label
_atom_site_type_symbol
_atom_site_fract_x
_atom_site_fract_y
_atom_site_fract_z
_atom_site_occupancy
Li1 Li 0.0000 0.5000 0.2500 1
P1 P 0.0000 0.0000 0.1094 1
Pb1 Pb 0.0000 0.0000 0.5000 1

[2]
# Pu2BrF, relaxed, DFT PBE
# - ΔE_f (raw) (eV/atom) = -1.306
# - D(E_F) (states/eV/f.u.) = 14.1
# - final energy (eV per cell) = -112.30
# - total moment (μB per atom) = 3.154
data_Pu2BrF
_chemical_formula_sum 'Pu6 Br3 F3'
_space_group_name_H-M_alt 'R -3 m'
_space_group_IT_number 166
_space_group_name_Hall '-R 3 2"'
_cell_length_a 3.5503
_cell_length_b 3.5503
_cell_length_c 24.9109
_cell_angle_alpha 90.00
_cell_angle_beta 90.00
_cell_angle_gamma 120.00
loop_
_atom_site_label
_atom_site_type_symbol
_atom_site_fract_x
_atom_site_fract_y
_atom_site_fract_z
_atom_site_occupancy
Pu1 Pu 0.0000 0.0000 0.2389 1
Br1 Br 0.0000 0.0000 0.0000 1
F1 F 0.0000 0.0000 0.5000 1

[3]
# Ag2Br3, relaxed, DFT PBE
# - ΔE_f (raw) (eV/atom) = -0.236
# - D(E_F) (states/eV/f.u.) = 6.7
# - final energy (eV per cell) = -35.70
# - total moment (μB per atom) = 0.000
data_Ag2Br3
_chemical_formula_sum 'Ag6 Br9'
_space_group_name_H-M_alt 'R -3 m'
_space_group_IT_number 166
_space_group_name_Hall '-R 3 2"'
_cell_length_a 4.0975
_cell_length_b 4.0975
_cell_length_c 29.7165
_cell_angle_alpha 90.00
_cell_angle_beta 90.00
_cell_angle_gamma 120.00
loop_
_atom_site_label
_atom_site_type_symbol
_atom_site_fract_x
_atom_site_fract_y
_atom_site_fract_z
_atom_site_occupancy
Ag1 Ag 0.0000 0.0000 0.1070 1
Br1 Br 0.0000 0.0000 0.2714 1
Br2 Br 0.0000 0.0000 0.5000 1

[4]
# AlCr5, relaxed, DFT PBE
# - D(E_F) (states/eV/f.u.) = 1.5
# - energy relative to the elements (eV/atom) = -0.050
# - final energy (eV per cell) = -52.16
# - total moment (μB per atom) = 0.460
data_AlCr5
_chemical_formula_sum 'Al1 Cr5'
_space_group_name_H-M_alt 'P 4/m m m'
_space_group_IT_number 123
_space_group_name_Hall '-P 4 2'
_cell_length_a 2.9229
_cell_length_b 2.9229
_cell_length_c 8.7815
_cell_angle_alpha 90.00
_cell_angle_beta 90.00
_cell_angle_gamma 90.00
loop_
_atom_site_label
_atom_site_type_symbol
_atom_site_fract_x
_atom_site_fract_y
_atom_site_fract_z
_atom_site_occupancy
Al1 Al 0.0000 0.0000 0.0000 1
Cr1 Cr 0.0000 0.0000 0.3337 1
Cr2 Cr 0.5000 0.5000 0.1824 1
Cr3 Cr 0.5000 0.5000 0.5000 1

[5]
# Ba2LiRh, relaxed, DFT PBE
# - D(E_F) (states/eV/f.u.) = 2.4
# - energy relative to the elements (eV/atom) = 0.004
# - final energy (eV per cell) = -26.19
# - total moment (μB per atom) = 0.000
data_Ba2LiRh
_chemical_formula_sum 'Ba4 Li2 Rh2'
_space_group_name_H-M_alt 'I m m 2'
_space_group_IT_number 44
_cell_length_a 3.8715
_cell_length_b 5.4691
_cell_length_c 12.5444
_cell_angle_alpha 90.00
_cell_angle_beta 90.00
_cell_angle_gamma 90.00
loop_
_space_group_symop_operation_xyz
'x,y,z'
'-x,-y,z'
'-x,y,z'
'x,-y,z'
'x+1/2,y+1/2,z+1/2'
'-x+1/2,-y+1/2,z+1/2'
'-x+1/2,y+1/2,z+1/2'
'x+1/2,-y+1/2,z+1/2'
loop_
_atom_site_label
_atom_site_type_symbol
_atom_site_fract_x
_atom_site_fract_y
_atom_site_fract_z
_atom_site_occupancy
Ba1 Ba 0.0000 0.0000 0.0000 1
Ba2 Ba 0.0000 0.5000 0.1953 1
Li1 Li 0.0000 0.5000 0.8496 1
Rh1 Rh 0.0000 0.0000 0.4989 1

[6]
# LiMgZr2, relaxed, DFT PBE
# - D(E_F) (states/eV/f.u.) = 4.0
# - energy relative to the elements (eV/atom) = 0.360
# - final energy (eV per cell) = -76.67
# - total moment (μB per atom) = 0.674
data_LiMgZr2
_chemical_formula_sum 'Li4 Mg4 Zr8'
_space_group_name_H-M_alt 'F -4 3 m'
_space_group_IT_number 216
_space_group_name_Hall 'F -4 2 3'
_cell_length_a 7.0791
_cell_length_b 7.0791
_cell_length_c 7.0791
_cell_angle_alpha 90.00
_cell_angle_beta 90.00
_cell_angle_gamma 90.00
loop_
_atom_site_label
_atom_site_type_symbol
_atom_site_fract_x
_atom_site_fract_y
_atom_site_fract_z
_atom_site_occupancy
Li1 Li 0.0000 0.0000 0.0000 1
Mg1 Mg 0.2500 0.2500 0.2500 1
Zr1 Zr 0.0000 0.0000 0.5000 1
Zr2 Zr 0.2500 0.2500 0.7500 1

[7]
# ReBTeRh2, relaxed, DFT PBE
# - ΔE_f (raw) (eV/atom) = 0.259
# - D(E_F) (states/eV/f.u.) = 6.5
# - final energy (eV per cell) = -35.68
# - total moment (μB per atom) = 0.000
data_ReBTeRh2
_chemical_formula_sum 'Re1 B1 Te1 Rh2'
_space_group_name_H-M_alt 'P 4/m m m'
_space_group_IT_number 123
_space_group_name_Hall '-P 4 2'
_cell_length_a 4.1803
_cell_length_b 4.1803
_cell_length_c 4.2743
_cell_angle_alpha 90.00
_cell_angle_beta 90.00
_cell_angle_gamma 90.00
loop_
_atom_site_label
_atom_site_type_symbol
_atom_site_fract_x
_atom_site_fract_y
_atom_site_fract_z
_atom_site_occupancy
Re1 Re 0.0000 0.0000 0.0000 1
B1 B 0.0000 0.0000 0.5000 1
Te1 Te 0.5000 0.5000 0.0000 1
Rh1 Rh 0.0000 0.5000 0.5000 1

[8]
# Rb2HClO, relaxed, DFT PBE
# - D(E_F) (states/eV/f.u.) = 0.0
# - final energy (eV per cell) = -19.72
# - total moment (μB per atom) = 0.007
data_Rb2HClO
_chemical_formula_sum 'Rb2 H1 Cl1 O1'
_space_group_name_H-M_alt 'P 4 m m'
_space_group_IT_number 99
_cell_length_a 5.5573
_cell_length_b 5.5573
_cell_length_c 4.2532
_cell_angle_alpha 90.00
_cell_angle_beta 90.00
_cell_angle_gamma 90.00
loop_
_space_group_symop_operation_xyz
'x,y,z'
'-y,x,z'
'-x,-y,z'
'y,-x,z'
'-x,y,z'
'y,x,z'
'x,-y,z'
'-y,-x,z'
loop_
_atom_site_label
_atom_site_type_symbol
_atom_site_fract_x
_atom_site_fract_y
_atom_site_fract_z
_atom_site_occupancy
Rb1 Rb 0.0000 0.5000 0.0000 1
H1 H 0.0000 0.0000 0.3694 1
Cl1 Cl 0.5000 0.5000 0.5186 1
O1 O 0.0000 0.0000 0.1402 1

[9]
# AgSbTe2H, relaxed, DFT PBE
# - D(E_F) (states/eV/f.u.) = 3.9
# - final energy (eV per cell) = -14.26
# - total moment (μB per atom) = 0.000
data_AgSbTe2H
_chemical_formula_sum 'Ag1 Sb1 Te2 H1'
_space_group_name_H-M_alt 'P 4/m m m'
_space_group_IT_number 123
_space_group_name_Hall '-P 4 2'
_cell_length_a 5.3972
_cell_length_b 5.3972
_cell_length_c 3.8609
_cell_angle_alpha 90.00
_cell_angle_beta 90.00
_cell_angle_gamma 90.00
loop_
_atom_site_label
_atom_site_type_symbol
_atom_site_fract_x
_atom_site_fract_y
_atom_site_fract_z
_atom_site_occupancy
Ag1 Ag 0.0000 0.0000 0.0000 1
Sb1 Sb 0.5000 0.5000 0.0000 1
Te1 Te 0.0000 0.5000 0.5000 1
H1 H 0.5000 0.5000 0.5000 1

[10]
# BeRuPt2, relaxed, DFT PBE
# - D(E_F) (states/eV/f.u.) = 2.6
# - energy relative to the elements (eV/atom) = -0.211
# - final energy (eV per cell) = -77.78
# - total moment (μB per atom) = 0.000
data_BeRuPt2
_chemical_formula_sum 'Be3 Ru3 Pt6'
_space_group_name_H-M_alt 'R -3 m'
_space_group_IT_number 166
_space_group_name_Hall '-R 3 2"'
_cell_length_a 2.7414
_cell_length_b 2.7414
_cell_length_c 24.9542
_cell_angle_alpha 90.00
_cell_angle_beta 90.00
_cell_angle_gamma 120.00
loop_
_atom_site_label
_atom_site_type_symbol
_atom_site_fract_x
_atom_site_fract_y
_atom_site_fract_z
_atom_site_occupancy
Be1 Be 0.0000 0.0000 0.0000 1
Ru1 Ru 0.0000 0.0000 0.5000 1
Pt1 Pt 0.0000 0.0000 0.2596 1

[11]
# BaSnN, relaxed, DFT PBE
# - ΔE_f (raw) (eV/atom) = -0.387
# - D(E_F) (states/eV/f.u.) = 0.9
# - final energy (eV per cell) = -61.65
# - total moment (μB per atom) = 0.000
data_BaSnN
_chemical_formula_sum 'Ba4 Sn4 N4'
_space_group_name_H-M_alt 'P n m a'
_space_group_IT_number 62
_cell_length_a 6.2805
_cell_length_b 4.0513
_cell_length_c 12.8666
_cell_angle_alpha 90.00
_cell_angle_beta 90.00
_cell_angle_gamma 90.00
loop_
_space_group_symop_operation_xyz
'x,y,z'
'-x,-y,-z'
'-x+1/2,-y,z+1/2'
'x+1/2,y,-z+1/2'
'x+1/2,-y+1/2,-z+1/2'
'-x+1/2,y+1/2,z+1/2'
'-x,y+1/2,-z'
'x,-y+1/2,z'
loop_
_atom_site_label
_atom_site_type_symbol
_atom_site_fract_x
_atom_site_fract_y
_atom_site_fract_z
_atom_site_occupancy
Ba1 Ba 0.2442 0.2500 0.1439 1
Sn1 Sn 0.2457 0.7500 0.3631 1
N1 N 0.0090 0.2500 0.7470 1

[12]
# Cs4AuOF, relaxed, DFT PBE
# - ΔE_f (raw) (eV/atom) = -1.242
# - final energy (eV per cell) = -44.43
# - total moment (μB per atom) = 0.016
data_Cs4AuOF
_chemical_formula_sum 'Cs8 Au2 O2 F2'
_space_group_name_H-M_alt 'P 1 21/m 1'
_space_group_IT_number 11
_cell_length_a 7.6660
_cell_length_b 7.8853
_cell_length_c 9.9786
_cell_angle_alpha 90.00
_cell_angle_beta 103.76
_cell_angle_gamma 90.00
loop_
_space_group_symop_operation_xyz
'x,y,z'
'-x,-y,-z'
'-x,y+1/2,-z'
'x,-y+1/2,z'
loop_
_atom_site_label
_atom_site_type_symbol
_atom_site_fract_x
_atom_site_fract_y
_atom_site_fract_z
_atom_site_occupancy
Cs1 Cs 0.9999 0.0139 0.1972 1
Cs2 Cs 0.3433 0.7500 0.5937 1
Cs3 Cs 0.4791 0.2500 0.9289 1
Au1 Au 0.2203 0.2500 0.5388 1
O1 O 0.2688 0.7500 0.8363 1
F1 F 0.1461 0.2500 0.0140 1

> Number 3 is which compound?

Ag2Br3